## A
# Rb2GeI

An optimized crystal structure of Rb2GeI (PBE, the Alexandria database).

a b c (Å): 6.3365 6.3365 6.3365
angles (deg): 60.00 60.00 60.00
With the nearest neighbours (Å) after each atom.
Positions (direct):
1 Rb 0.2500 0.2500 0.2500  4 Ge 3.88, 4 I 3.88
2 Rb 0.7500 0.7500 0.7500  4 Ge 3.88, 4 I 3.88
3 Ge 0.0000 0.0000 0.0000  8 Rb 3.88
4 I 0.5000 0.5000 0.5000  8 Rb 3.88

=====

## B
# Rb2GeI

An optimized crystal structure of Rb2GeI (PBE, the Alexandria database).

a b c (Å): 8.5728 8.5728 8.5728
angles (deg): 112.66 112.66 103.27
With the nearest neighbours (Å) after each atom.
Positions (direct):
1 Rb 0.1239 0.6250 0.9989  2 I 3.61, 2 Ge 3.62
2 Rb 0.3750 0.3739 0.4989  2 I 3.61, 2 Ge 3.62
3 Rb 0.6261 0.1250 0.0011  2 I 3.61, 2 Ge 3.62
4 Rb 0.8750 0.8761 0.5011  2 I 3.61, 2 Ge 3.62
5 Ge 0.2500 0.7500 0.5000  4 Rb 3.62
6 Ge 0.5000 0.5000 0.0000  4 Rb 3.62
7 I 0.0000 0.0000 0.0000  4 Rb 3.61
8 I 0.7500 0.2500 0.5000  4 Rb 3.61

=====

Energies relative to the most stable structure, in eV/atom: A 0.000; B 0.066.

=====

## A
# Rb2Ge2I

An optimized crystal structure of Rb2Ge2I (PBE, the Alexandria database).

a b c (Å): 6.6634 6.6634 6.6634
angles (deg): 116.70 116.70 95.81
With the nearest neighbours (Å) after each atom.
Positions (direct):
1 Rb 0.2500 0.7500 0.5000  4 Ge 3.67
2 Rb 0.7500 0.2500 0.5000  4 Ge 3.67
3 Ge 0.1253 0.1253 0.0000  1 Ge 2.24
4 Ge 0.8747 0.8747 0.0000  1 Ge 2.24
5 I 0.5000 0.5000 0.0000  2 Ge 3.35

=====

## B
# Rb2Ge2I

An optimized crystal structure of Rb2Ge2I (PBE, the Alexandria database).

a b c (Å): 10.1630 10.1630 4.0409
angles (deg): 90.00 90.00 90.00
With the nearest neighbours (Å) after each atom.
Positions (direct):
1 Rb 0.2150 0.2850 0.0000  6 Ge 3.58-3.87
2 Rb 0.2850 0.7850 0.0000  6 Ge 3.58-3.87
3 Rb 0.7150 0.2150 0.0000  6 Ge 3.58-3.87
4 Rb 0.7850 0.7150 0.0000  6 Ge 3.58-3.87
5 Ge 0.0797 0.5797 0.5000  1 Ge 2.29
6 Ge 0.4203 0.0797 0.5000  1 Ge 2.29
7 Ge 0.5797 0.9203 0.5000  1 Ge 2.29
8 Ge 0.9203 0.4203 0.5000  1 Ge 2.29
9 I 0.0000 0.0000 0.5000  2 I 4.04, 8 Rb 4.15, 4 Ge 4.35
10 I 0.5000 0.5000 0.5000  2 I 4.04, 8 Rb 4.15, 4 Ge 4.35

=====

Energies relative to the most stable structure, in eV/atom: A 0.023; B 0.000.

=====

## A
# Rb2SrGeI6

An optimized crystal structure of Rb2SrGeI6 (PBE, the Alexandria database).

a b c (Å): 8.4261 8.8391 14.7439
angles (deg): 90.00 124.33 90.00
With the nearest neighbours (Å) after each atom.
Positions (direct):
1 Rb 0.2201 0.0774 0.2471  6 I 3.72-3.93
2 Rb 0.2201 0.4226 0.7471  6 I 3.72-3.93
3 Rb 0.7799 0.5774 0.2529  6 I 3.72-3.93
4 Rb 0.7799 0.9226 0.7529  6 I 3.72-3.93
5 Sr 0.5000 0.0000 0.0000  6 I 3.28-3.30
6 Sr 0.5000 0.5000 0.5000  6 I 3.28-3.30
7 Ge 0.0000 0.0000 0.5000  6 I 3.04-3.06
8 Ge 0.0000 0.5000 0.0000  6 I 3.04-3.06
9 I 0.1345 0.2098 0.9501  1 Ge 3.06, 1 Sr 3.30
10 I 0.1345 0.2902 0.4501  1 Ge 3.06, 1 Sr 3.30
11 I 0.2459 0.6891 0.9511  1 Ge 3.05, 1 Sr 3.30
12 I 0.2459 0.8109 0.4511  1 Ge 3.05, 1 Sr 3.30
13 I 0.3375 0.0197 0.7389  1 Ge 3.04, 1 Sr 3.28
14 I 0.3375 0.4803 0.2389  1 Ge 3.04, 1 Sr 3.28
15 I 0.6625 0.5197 0.7611  1 Ge 3.04, 1 Sr 3.28
16 I 0.6625 0.9803 0.2611  1 Ge 3.04, 1 Sr 3.28
17 I 0.7541 0.1891 0.5489  1 Ge 3.05, 1 Sr 3.30
18 I 0.7541 0.3109 0.0489  1 Ge 3.05, 1 Sr 3.30
19 I 0.8655 0.7098 0.5499  1 Ge 3.06, 1 Sr 3.30
20 I 0.8655 0.7902 0.0499  1 Ge 3.06, 1 Sr 3.30

=====

## B
# Rb2SrGeI6

An optimized crystal structure of Rb2SrGeI6 (PBE, the Alexandria database).

a b c (Å): 8.7935 8.7935 8.7935
angles (deg): 60.00 60.00 60.00
With the nearest neighbours (Å) after each atom.
Positions (direct):
1 Rb 0.2500 0.2500 0.2500  12 I 4.40
2 Rb 0.7500 0.7500 0.7500  12 I 4.40
3 Sr 0.0000 0.0000 0.0000  6 I 3.23
4 Ge 0.5000 0.5000 0.5000  6 I 2.99
5 I 0.2594 0.2594 0.7406  1 Ge 2.99, 1 Sr 3.23
6 I 0.2594 0.7406 0.2594  1 Ge 2.99, 1 Sr 3.23
7 I 0.2594 0.7406 0.7406  1 Ge 2.99, 1 Sr 3.23
8 I 0.7406 0.2594 0.2594  1 Ge 2.99, 1 Sr 3.23
9 I 0.7406 0.2594 0.7406  1 Ge 2.99, 1 Sr 3.23
10 I 0.7406 0.7406 0.2594  1 Ge 2.99, 1 Sr 3.23

=====

Energies relative to the most stable structure, in eV/atom: A 0.000; B 0.043.

=====

## A
# Re3GeI

An optimized crystal structure of Re3GeI (PBE, the Alexandria database).

a b c (Å): 4.8574 4.8574 4.8574
angles (deg): 90.00 90.00 90.00
With the nearest neighbours (Å) after each atom.
Positions (direct):
1 Re 0.0000 0.0000 0.5000  2 I 2.43
2 Re 0.0000 0.5000 0.0000  2 I 2.43
3 Re 0.5000 0.0000 0.0000  2 I 2.43
4 Ge 0.5000 0.5000 0.5000  12 Re 3.43
5 I 0.0000 0.0000 0.0000  6 Re 2.43

=====

## B
# Re3GeI

An optimized crystal structure of Re3GeI (PBE, the Alexandria database).

a b c (Å): 4.6491 4.6491 4.6491
angles (deg): 90.00 90.00 90.00
With the nearest neighbours (Å) after each atom.
Positions (direct):
1 Re 0.0000 0.0000 0.5000  2 Ge 2.32
2 Re 0.0000 0.5000 0.0000  2 Ge 2.32
3 Re 0.5000 0.0000 0.0000  2 Ge 2.32
4 Ge 0.0000 0.0000 0.0000  6 Re 2.32
5 I 0.5000 0.5000 0.5000  12 Re 3.29

=====

Energies relative to the most stable structure, in eV/atom: A 0.776; B 0.000.

=====

## A
# ReGeI2

An optimized crystal structure of ReGeI2 (PBE, the Alexandria database).

a b c (Å): 7.3722 7.3722 7.3722
angles (deg): 96.33 96.33 141.22
With the nearest neighbours (Å) after each atom.
Positions (direct):
1 Re 0.0000 0.0000 0.0000  2 Ge 2.45
2 Re 0.7500 0.2500 0.5000  2 Ge 2.45
3 Ge 0.2500 0.7500 0.5000  2 Re 2.45
4 Ge 0.5000 0.5000 0.0000  2 Re 2.45
5 I 0.3750 0.2315 0.3565  2 Re 2.74
6 I 0.7685 0.1250 0.1435  2 Re 2.74
7 I 0.8750 0.0185 0.6435  2 Re 2.74
8 I 0.9815 0.6250 0.8565  2 Re 2.74

=====

## B
# ReGeI2

An optimized crystal structure of ReGeI2 (PBE, the Alexandria database).

a b c (Å): 4.9840 4.9840 4.9840
angles (deg): 60.00 60.00 60.00
With the nearest neighbours (Å) after each atom.
Positions (direct):
1 Re 0.0000 0.0000 0.0000  8 I 3.05
2 Ge 0.5000 0.5000 0.5000  8 I 3.05
3 I 0.2500 0.2500 0.2500  4 Ge 3.05, 4 Re 3.05
4 I 0.7500 0.7500 0.7500  4 Ge 3.05, 4 Re 3.05

=====

Energies relative to the most stable structure, in eV/atom: A 0.000; B 0.765.

=====

## A
# Ge2Rh2I

An optimized crystal structure of Ge2Rh2I (PBE, the Alexandria database).

a b c (Å): 7.5129 7.5129 3.2111
angles (deg): 90.00 90.00 90.00
With the nearest neighbours (Å) after each atom.
Positions (direct):
1 Ge 0.1364 0.3636 0.0000  6 Rh 2.62-2.87, 1 Ge 2.90
2 Ge 0.3636 0.8636 0.0000  6 Rh 2.62-2.87, 1 Ge 2.90
3 Ge 0.6364 0.1364 0.0000  6 Rh 2.62-2.87, 1 Ge 2.90
4 Ge 0.8636 0.6364 0.0000  6 Rh 2.62-2.87, 1 Ge 2.90
5 Rh 0.1393 0.6393 0.5000  6 Ge 2.62-2.87, 2 I 2.91
6 Rh 0.3607 0.1393 0.5000  6 Ge 2.62-2.87, 2 I 2.91
7 Rh 0.6393 0.8607 0.5000  6 Ge 2.62-2.87, 2 I 2.91
8 Rh 0.8607 0.3607 0.5000  6 Ge 2.62-2.87, 2 I 2.91
9 I 0.0000 0.0000 0.5000  4 Rh 2.91, 2 I 3.21
10 I 0.5000 0.5000 0.5000  4 Rh 2.91, 2 I 3.21

=====

## B
# Ge2Rh2I

An optimized crystal structure of Ge2Rh2I (PBE, the Alexandria database).

a b c (Å): 5.9235 5.9235 5.9235
angles (deg): 137.04 137.04 62.37
With the nearest neighbours (Å) after each atom.
Positions (direct):
1 Ge 0.1271 0.1271 0.0000  4 Rh 2.50, 1 Ge 2.58
2 Ge 0.8729 0.8729 0.0000  4 Rh 2.50, 1 Ge 2.58
3 Rh 0.2500 0.7500 0.5000  4 Ge 2.50
4 Rh 0.7500 0.2500 0.5000  4 Ge 2.50
5 I 0.5000 0.5000 0.0000  8 Ge 3.33, 8 Rh 3.34

=====

Energies relative to the most stable structure, in eV/atom: A 0.105; B 0.000.